# 1
NdAlNO: optimized geometry, PBE.

The structure in POSCAR format:
```
NdAlNO
1.0
-1.817 -3.147 0.000
0.000 0.000 5.579
-4.642 2.680 0.000
Nd O N Al
2 2 2 2
direct
0.500 0.499 0.727
0.500 0.999 0.273
0.500 0.004 0.821
0.500 0.504 0.179
0.000 0.249 0.498
0.000 0.749 0.502
0.000 0.001 0.734
0.000 0.501 0.266
```

Calculated values
Space group: Pmc2_1, No. 26
Calculated density: 6.1 Mg/m³
Total magnetic moment: 0.01 Bohr magnetons per cell
Polymorph energy (0 for the lowest one): 3.9 kJ per mole of atoms

=====

# 2
NdAlNO: optimized geometry, PBE.

The structure in POSCAR format:
```
NdAlNO
1.0
3.836 0.000 0.000
0.000 3.836 0.000
0.000 0.000 8.908
Nd N Al O
2 2 2 2
direct
0.500 0.000 0.859
0.000 0.500 0.141
0.500 0.000 0.555
0.000 0.500 0.445
0.000 0.000 0.500
0.500 0.500 0.500
0.000 0.000 0.000
0.500 0.500 0.000
```

Calculated values
Space group: P4/nmm, No. 129
Calculated density: 5.1 Mg/m³
Total magnetic moment: 1.61 Bohr magnetons per cell
Polymorph energy (0 for the lowest one): 17.9 kJ per mole of atoms

=====

| no. | raw total energy (eV/cell) |
| --- | --- |
| 1 | -58.457 |
| 2 | -57.298 |